No. 1
The following is a PBE-GGA calculation of crystalline Ba8Li2Ga at its relaxed geometry, from Alexandria.

Structure (extended XYZ):
```
11
Lattice="-5.154 -3.373 0.530 0.982 -2.752 -7.973 7.787 -5.235 6.349" Properties=species:S:1:pos:R:3 pbc="T T T"
Ga -2.577 -1.687 0.265
Li 1.019 -6.878 2.194
Ba 1.185 -7.685 -1.332
Ba -1.242 -4.069 -1.916
Ba 0.000 -6.509 -5.372
Ba 3.615 -4.852 4.277
Ba 1.055 -2.562 -6.055
Li 2.596 -4.483 -3.289
Ba 4.857 -7.292 0.822
Ba 2.430 -3.675 0.237
Ba 2.561 -8.798 4.961
```

Values from the calculation:
**E**: -2.047 eV/atom
**Magnetization**: 0.00 μB per atom
**ΔE_f**: -27 kJ/mol of formula units

=====

No. 2
The following is a PBE-GGA calculation of crystalline CrCdOs2 at its relaxed geometry, from Alexandria.

Structure (extended XYZ):
```
4
Lattice="4.060 0.000 0.000 0.000 2.780 0.002 0.000 1.631 5.430" Properties=species:S:1:pos:R:3 pbc="T T T"
Cr 2.030 3.308 4.074
Os 0.000 4.121 5.252
Cd 2.030 1.103 1.358
Os 0.000 2.495 2.896
```

Values from the calculation:
**E**: -7.708 eV/atom
**Magnetization**: 0.22 μB per atom
**ΔE_f**: 209 kJ/mol of formula units

=====

No. 3
The following is a PBE-GGA calculation of crystalline TcHgSCl2 at its relaxed geometry, from Alexandria.

Structure (extended XYZ):
```
5
Lattice="5.154 0.000 0.000 0.000 5.154 0.000 0.000 0.000 5.130" Properties=species:S:1:pos:R:3 pbc="T T T"
Hg 0.000 0.000 0.000
Cl 2.577 0.000 0.000
Cl 0.000 2.577 0.000
S 0.000 0.000 2.565
Tc 2.577 2.577 2.565
```

Values from the calculation:
**E**: -2.911 eV/atom
**Magnetization**: 1.00 μB per atom
**Relative energy among the computed polymorphs**: 0.885 eV per atom

=====

No. 4
The following is a PBE-GGA calculation of crystalline TiPdRh2 at its relaxed geometry, from Alexandria.

Structure (extended XYZ):
```
4
Lattice="0.000 3.101 3.101 3.101 0.000 3.101 3.101 3.101 0.000" Properties=species:S:1:pos:R:3 pbc="T T T"
Ti 0.000 0.000 0.000
Rh 1.551 1.551 1.551
Rh 4.652 4.652 4.652
Pd 3.101 3.101 3.101
```

Values from the calculation:
**E**: -7.330 eV/atom
**Magnetization**: 0.00 μB per atom
**ΔE_f**: -148 kJ/mol of formula units

=====

No. 5
The following is a PBE-GGA calculation of crystalline TcNiIr2 at its relaxed geometry, from Alexandria.

Structure (extended XYZ):
```
4
Lattice="-0.425 2.685 0.011 -3.664 -0.577 -0.643 -0.900 -0.163 5.276" Properties=species:S:1:pos:R:3 pbc="T T T"
Tc -2.719 0.931 3.641
Ir -0.445 -0.081 2.611
Ni -2.269 1.013 1.003
Ir -0.005 -0.001 0.027
```

Values from the calculation:
**E**: -8.582 eV/atom
**Magnetization**: 0.00 μB per atom
**ΔE_f**: -44 kJ/mol of formula units
**Relative energy among the computed polymorphs**: 0.007 eV per atom

=====

No. 6
The following is a PBE-GGA calculation of crystalline Ce2ZnBPt6 at its relaxed geometry, from Alexandria.

Structure (extended XYZ):
```
20
Lattice="5.664 0.000 0.000 0.000 7.483 0.000 0.000 0.000 8.696" Properties=species:S:1:pos:R:3 pbc="T T T"
Pt 1.393 4.461 0.000
Pt 4.295 7.364 4.348
Ce 0.000 2.126 6.790
Pt 2.832 1.043 6.473
Pt 0.000 6.441 6.571
Pt 1.463 0.119 0.000
Pt 4.202 0.119 0.000
Ce 0.000 2.126 1.906
B 0.000 6.055 0.000
Zn 2.832 2.389 0.000
Pt 1.440 3.022 4.348
Zn 0.000 5.094 4.348
Ce 2.832 5.357 6.254
Pt 4.225 3.022 4.348
Pt 0.000 6.441 2.125
B 2.832 1.428 4.348
Ce 2.832 5.357 2.442
Pt 2.832 1.043 2.223
Pt 1.369 7.364 4.348
Pt 4.272 4.461 0.000
```

Values from the calculation:
**E**: -6.416 eV/atom
**Magnetization**: 0.14 μB per atom
**ΔE_f**: -781 kJ/mol of formula units

=====

Volume in Å³ per atom, matching the order above: 49.5 15.3 27.2 14.9 13.7 18.4